TlSbIr2 | PBE | optimized geometry

Geometry as POSCAR:
```
TlSbIr2
1.0
-2.283 -0.665 -1.701
-0.956 -2.921 2.424
-4.344 4.727 3.982
Tl Sb Ir
1 1 2
Cartesian
-5.152 2.052 3.600
-1.796 1.954 1.646
-2.573 -0.755 1.235
-0.234 0.255 0.215
```

Properties
The value obtained for the density of states at the Fermi level is 4.6 states/eV/cell. Its uncorrected formation energy is 122 kJ/mol of formula units. As for the space group: No. 25.